Below is a relaxed Pu2Ga5Cu2Pd crystal, with properties calculated at the PBE level.

abc: 2.9984 10.8258 10.8258
angles: 90.00 90.00 90.00
Last column: nearest neighbours and their distance in Å.
Element x y z (fractional)
Pu  0.0000  0.6744  0.1744  1 Cu 2.96, 2 Pu 3.00, 10 Ga 3.06-3.28
Pu  0.0000  0.3256  0.8256  1 Cu 2.96, 2 Pu 3.00, 10 Ga 3.06-3.28
Pu  0.0000  0.1744  0.3256  1 Cu 2.96, 2 Pu 3.00, 10 Ga 3.06-3.28
Pu  0.0000  0.8256  0.6744  1 Cu 2.96, 2 Pu 3.00, 10 Ga 3.06-3.28
Ga  0.5000  0.1945  0.0567  2 Cu 2.54, 2 Pd 2.66
Ga  0.5000  0.8055  0.9433  2 Cu 2.54, 2 Pd 2.66
Ga  0.5000  0.0567  0.8055  2 Cu 2.54, 2 Pd 2.66
Ga  0.5000  0.6945  0.4433  2 Cu 2.54, 2 Pd 2.66
Ga  0.5000  0.9433  0.1945  2 Cu 2.54, 2 Pd 2.66
Ga  0.5000  0.3055  0.5567  2 Cu 2.54, 2 Pd 2.66
Ga  0.5000  0.5567  0.6945  2 Cu 2.54, 2 Pd 2.66
Ga  0.5000  0.4433  0.3055  2 Cu 2.54, 2 Pd 2.66
Ga  0.5000  0.5000  0.0000  4 Cu 2.52
Ga  0.5000  0.0000  0.5000  4 Cu 2.52
Cu  0.0000  0.1321  0.6321  6 Ga 2.52-2.54
Cu  0.0000  0.8679  0.3679  6 Ga 2.52-2.54
Cu  0.0000  0.6321  0.8679  6 Ga 2.52-2.54
Cu  0.0000  0.3679  0.1321  6 Ga 2.52-2.54
Pd  0.0000  0.0000  0.0000  8 Ga 2.66
Pd  0.0000  0.5000  0.5000  8 Ga 2.66

Results
* magnetic moment: 22.48 μB per cell
* SG: P4/mbm
* calculated volume: 17.57 Å³/atom
* calculated formation energy: -258 kJ/mol of formula units